VASP calculation (GGA-PBE) on AcSn2Ge2Pt7 after structural relaxation. Values from VASP.

```
&SYSTEM
  ibrav = 0, nat = 12, ntyp = 4
/
ATOMIC_SPECIES
Ac 227.00 Ac.upf
Sn 118.71 Sn.upf
Ge 72.64 Ge.upf
Pt 195.08 Pt.upf
CELL_PARAMETERS angstrom
2.844 -2.845 0.000
2.844 2.845 0.000
-2.827 0.000 15.923
ATOMIC_POSITIONS angstrom
Ac 0.000 0.000 0.000
Sn 0.007 0.000 6.804
Sn 2.854 0.000 9.119
Ge 0.009 0.000 12.015
Ge 2.852 0.000 3.908
Pt 1.428 1.421 2.431
Pt 0.005 0.000 9.562
Pt 1.433 1.421 13.492
Pt 2.844 0.000 0.000
Pt 1.428 -1.421 2.431
Pt 2.856 0.000 6.361
Pt 1.433 -1.421 13.492
```

Computed properties:
DFT total energy: -5.79 eV/atom
energy of formation from the pure elements: -11.12 kcal/mol of atoms
SG: C2/m, No. 12